# 1
Here is a relaxed MgNiAg3 crystal from Alexandria. Energies are from PBE-GGA.

Cell: 4.8156 4.8156 4.8156 Å, 90.00 90.00 90.00°
Closest atoms and distances in Å follow each position.
Atoms (fractional coordinates):
Ni  0.5000  0.5000  0.5000  12 Ag 3.41
Mg  0.0000  0.0000  0.0000  6 Ag 2.41
Ag  0.0000  0.5000  0.0000  2 Mg 2.41
Ag  0.0000  0.0000  0.5000  2 Mg 2.41
Ag  0.5000  0.0000  0.0000  2 Mg 2.41

The symmetry is Pm-3m (221). For the total moment, the calculation gives 0.4 μB/f.u. The calculation puts the density of states at the Fermi level at 0.758 states/eV/atom. For the total energy, the calculation gives -2.1643 eV/atom. As for the calculated formation energy: 1.02 eV per atom. The value obtained for the polymorph energy (0 for the lowest one) is 483 meV per atom.

***

# 2
Here is a relaxed La2InNiSb crystal from Alexandria. Energies are from PBE-GGA.

Cell: 5.4075 5.4075 4.8777 Å, 90.00 90.00 90.00°
Closest atoms and distances in Å follow each position.
Atoms (fractional coordinates):
Sb  0.5000  0.5000  0.5000  8 La 3.64, 4 In 3.82
In  0.0000  0.0000  0.5000  2 Ni 2.44
Ni  0.0000  0.0000  0.0000  2 In 2.44, 4 La 2.70
La  0.0000  0.5000  0.0000  2 Ni 2.70
La  0.5000  0.0000  0.0000  2 Ni 2.70

The symmetry is P4/mmm (123). Its formation energy (no corrections) is -0.6142 eV/atom. For the total moment, the calculation gives 0.0 μB/f.u. The calculation puts the density of states at the Fermi level at 0.679 states/eV/atom. For the total energy, the calculation gives -5.1136 eV/atom.

***

# 3
Here is a relaxed Cs2BeHg crystal from Alexandria. Energies are from PBE-GGA.

Cell: 10.0988 10.0988 8.1715 Å, 51.84 51.84 90.00°
Closest atoms and distances in Å follow each position.
Atoms (fractional coordinates):
Cs  0.6103  0.1250  0.2500  2 Be 3.61, 2 Hg 3.81, 2 Cs 3.98
Cs  0.1397  0.6250  0.2500  2 Be 3.61, 2 Hg 3.81, 2 Cs 3.98
Cs  0.3750  0.3897  0.7500  2 Be 3.61, 2 Hg 3.81, 2 Cs 3.98
Cs  0.8750  0.8603  0.7500  2 Be 3.61, 2 Hg 3.81, 2 Cs 3.98
Be  0.5000  0.5000  0.0000  4 Cs 3.61, 2 Hg 3.97
Be  0.2500  0.7500  0.5000  4 Cs 3.61, 2 Hg 3.97
Hg  0.0000  0.0000  0.0000  4 Cs 3.81, 2 Be 3.97
Hg  0.7500  0.2500  0.5000  4 Cs 3.81, 2 Be 3.97

The symmetry is I-42d (122). For the total moment, the calculation gives 0.0 μB/f.u. The calculation puts the density of states at the Fermi level at 1.349 states/eV/atom. For the total energy, the calculation gives -0.8091 eV/atom. As for the calculated formation energy: 0.62 eV per atom.

***

# 4
Here is a relaxed Li3InTe crystal from Alexandria. Energies are from PBE-GGA.

Cell: 5.1927 5.1927 5.1927 Å, 90.00 90.00 90.00°
Closest atoms and distances in Å follow each position.
Atoms (fractional coordinates):
Te  0.0000  0.0000  0.0000  6 Li 2.60
Li  0.0000  0.5000  0.0000  2 Te 2.60
Li  0.0000  0.0000  0.5000  2 Te 2.60
Li  0.5000  0.0000  0.0000  2 Te 2.60
In  0.5000  0.5000  0.5000  12 Li 3.67

The symmetry is Pm-3m (221). Its formation energy (no corrections) is -0.3294 eV/atom. For the total moment, the calculation gives 0.0 μB/f.u. The calculation puts the density of states at the Fermi level at 0.693 states/eV/atom. For the total energy, the calculation gives -2.6537 eV/atom. The value obtained for the polymorph energy (0 for the lowest one) is 0 meV per atom.